First-principles (PBE-GGA) data for crystalline ZnAg2Br at its relaxed geometry, as listed in Alexandria via LeMat-Bulk.

The energy above the lowest structure with this stoichiometry is 162 meV per atom. The calculated volume is 22.6 A^3/atom. As for the total magnetic moment: 0.0000 μB/atom.

The space group is I-4m2 (No. 119) and the conventional cell measures 3.843, 3.843 and 12.235 Å, with angles of 90.00, 90.00 and 90.00 degrees. The inequivalent atoms are Zn at (0.000, 0.000, 0.000), Ag at (0.000, 0.000, 0.500), Ag at (0.000, 0.500, 0.750) and Br at (0.000, 0.500, 0.250).